SmErTeO6 | GGA-PBE | optimized geometry

Results
Size of the total moment, μB/cell: 0.0
E_form (uncorrected), eV per formula unit: -22.16

The structure in POSCAR format:
```
SmErTeO6
1.0
-2.7115 4.8413 0.0668
0.5250 -2.8209 -4.7499
-8.3272 -4.6897 1.8647
Sm Er Te O
2 2 2 12
Direct
0.0000 0.0000 0.0000
0.0000 0.0000 0.5000
0.3333 0.6667 0.2500
0.6667 0.3333 0.7500
0.6667 0.3333 0.2500
0.3333 0.6667 0.7500
0.6644 0.6247 0.1374
0.9603 0.3356 0.1374
0.3356 0.9603 0.6374
0.0397 0.6644 0.8626
0.3753 0.3356 0.3626
0.9603 0.6247 0.3626
0.6247 0.9603 0.8626
0.6644 0.0397 0.3626
0.0397 0.3753 0.6374
0.3753 0.0397 0.1374
0.6247 0.6644 0.6374
0.3356 0.3753 0.8626
```

=====

Y4AgIr2 | GGA-PBE | optimized geometry

Results
Offset from the most stable computed form, meV/atom: 53
ΔH_f (0 K), eV/atom: -0.580
Size of the total moment, μB/cell: 0.0

The structure in POSCAR format:
```
Y4AgIr2
1.0
7.5061 -1.0574 -0.1507
-1.5937 7.4154 0.1557
-2.8443 -3.2844 6.2329
Y Ag Ir
8 2 4
Direct
0.9960 0.2494 0.3891
0.3893 0.5003 0.2457
0.8596 0.6074 0.6105
0.7509 0.1396 0.7469
0.3939 0.0045 0.2542
0.2538 0.1431 0.7530
0.4995 0.7462 0.8896
0.8577 0.6100 0.1111
0.2505 0.7500 0.5007
0.0005 0.9997 0.0004
0.4901 0.3750 0.6153
0.7591 0.8749 0.3842
0.6246 0.2404 0.1152
0.1244 0.5095 0.8840
```

=====

NdTmNp | GGA-PBE | optimized geometry

Results
ΔH_f (0 K), eV/atom: 0.245
Size of the total moment, μB/cell: 2.6

The structure in POSCAR format:
```
NdTmNp
1.0
-0.2784 2.0117 -2.8966
-2.9995 -4.3972 -2.7657
-6.0168 3.4041 5.1028
Np Tm Nd
2 2 2
Direct
0.7621 0.1365 0.5242
0.2379 0.8635 0.4758
0.5675 0.7936 0.1349
0.4325 0.2064 0.8651
0.8765 0.6757 0.7529
0.1235 0.3243 0.2471
```

=====

PrDyHo3Th | GGA-PBE | optimized geometry

Results
ΔH_f (0 K), eV/atom: 0.029
Size of the total moment, μB/cell: 0.0

The structure in POSCAR format:
```
PrDyHo3Th
1.0
-3.3413 3.7966 -0.2582
-4.5494 -3.6333 5.4481
7.3644 6.7374 3.7662
Pr Dy Ho Th
2 2 6 2
Direct
0.2500 0.1241 0.2920
0.7500 0.8759 0.7080
0.2500 0.1296 0.6285
0.7500 0.8704 0.3715
0.7500 0.8676 0.0422
0.2500 0.1324 0.9578
0.2500 0.6250 0.4558
0.7500 0.3750 0.5442
0.7500 0.3826 0.2065
0.2500 0.6174 0.7935
0.2500 0.6191 0.1212
0.7500 0.3809 0.8788
```

=====

Tl7Bi5 | GGA-PBE | optimized geometry

Results
ΔH_f (0 K), eV/atom: 0.010
Size of the total moment, μB/cell: 0.0

The structure in POSCAR format:
```
Tl7Bi5
1.0
5.4843 0.0001 1.3261
2.4303 5.9094 1.9526
0.0344 -1.0416 11.8575
Tl Bi
7 5
Direct
0.9905 0.0104 0.0086
0.4457 0.9012 0.2075
0.8035 0.8563 0.5366
0.2465 0.7604 0.7467
0.0594 0.5999 0.2814
0.4999 0.4972 0.5029
0.2057 0.1280 0.4606
0.7121 0.6298 0.9461
0.9552 0.3709 0.7186
0.2925 0.3901 0.0249
0.7499 0.2288 0.2714
0.5391 0.1270 0.7948
```

=====

Th3Ge3Ir2 | GGA-PBE | optimized geometry

Results
ΔH_f (0 K), eV/atom: -0.882
Size of the total moment, μB/cell: 0.0

The structure in POSCAR format:
```
Th3Ge3Ir2
1.0
-1.8781 2.6386 -2.8828
-3.7386 -1.6176 4.2158
4.1979 12.1472 8.3836
Th Ge Ir
6 6 4
Direct
0.8703 0.7407 0.4037
0.1297 0.2593 0.9037
0.8703 0.7407 0.0963
0.1297 0.2593 0.5963
0.5938 0.1876 0.2500
0.4062 0.8124 0.7500
0.5956 0.1912 0.4544
0.4044 0.8088 0.9544
0.5956 0.1912 0.0456
0.4044 0.8088 0.5456
0.3099 0.6199 0.2500
0.6901 0.3801 0.7500
0.8481 0.6962 0.8814
0.1519 0.3038 0.3814
0.8481 0.6962 0.6186
0.1519 0.3038 0.1186
```

=====

TbSmMg14 | GGA-PBE | optimized geometry

Results
ΔH_f (0 K), eV/atom: -0.039
Size of the total moment, μB/cell: 0.0

The structure in POSCAR format:
```
TbSmMg14
1.0
6.9429 -0.0132 0.0000
0.0163 6.9429 0.0000
0.0000 0.0000 8.0220
Tb Sm Mg
1 1 14
Direct
0.3750 0.3750 0.5000
0.8750 0.8750 0.5000
0.8750 0.8750 0.0000
0.3750 0.3750 0.0000
0.8750 0.3750 0.5000
0.8750 0.3750 0.0000
0.3750 0.8750 0.5000
0.3750 0.8750 0.0000
0.6239 0.1261 0.2380
0.6239 0.1261 0.7620
0.1261 0.6239 0.2380
0.1261 0.6239 0.7620
0.6239 0.6239 0.2380
0.6239 0.6239 0.7620
0.1261 0.1261 0.2380
0.1261 0.1261 0.7620
```

=====

Sm2CuBr | GGA-PBE | optimized geometry

Results
Offset from the most stable computed form, meV/atom: 0
Size of the total moment, μB/cell: 0.0
E_form (uncorrected), eV per formula unit: -2.56

The structure in POSCAR format:
```
Sm2CuBr
1.0
4.1081 0.0000 0.0000
2.0541 3.5578 0.0000
2.0541 1.1859 7.3434
Cu Br Sm
1 1 2
Direct
0.0000 0.0000 0.0000
0.5000 0.5000 0.5000
0.7384 0.7384 0.7848
0.2616 0.2616 0.2152
```

=====

What did the seventh record say?
TbSmMg14 | GGA-PBE | optimized geometry

Results
ΔH_f (0 K), eV/atom: -0.039
Size of the total moment, μB/cell: 0.0

The structure in POSCAR format:
```
TbSmMg14
1.0
6.9429 -0.0132 0.0000
0.0163 6.9429 0.0000
0.0000 0.0000 8.0220
Tb Sm Mg
1 1 14
Direct
0.3750 0.3750 0.5000
0.8750 0.8750 0.5000
0.8750 0.8750 0.0000
0.3750 0.3750 0.0000
0.8750 0.3750 0.5000
0.8750 0.3750 0.0000
0.3750 0.8750 0.5000
0.3750 0.8750 0.0000
0.6239 0.1261 0.2380
0.6239 0.1261 0.7620
0.1261 0.6239 0.2380
0.1261 0.6239 0.7620
0.6239 0.6239 0.2380
0.6239 0.6239 0.7620
0.1261 0.1261 0.2380
0.1261 0.1261 0.7620
```

=====

Question: size of the total moment of number 6 (Th3Ge3Ir2)?
Answer: 0.0 μB/cell